First-principles (PBE) data for an optimized crystal structure of AcYNi2As2, as listed in Alexandria.

Space-group type = P-3m1, No. 164
Formation enthalpy at 0 K = -1.0196 eV/atom
N(E_F) = 0.413 states/eV per atom

The structure in POSCAR format:
```
AcYNi2As2
1.0
4.149 0.000 0.000
-2.075 3.594 0.000
0.000 0.000 8.187
Ac Y Ni As
1 1 2 2
Direct
0.000 0.000 0.000 Ac
0.000 0.000 0.500 Y
0.333 0.667 0.732 Ni
0.667 0.333 0.268 Ni
0.333 0.667 0.273 As
0.667 0.333 0.727 As
```